VASP calculation (GGA-PBE) on a geometry-optimized LaCdTePH structure.

Calculated values
E, eV per atom: -4.10
N(E_F), states/eV/atom: 0.208
SG: P1, No. 1

Unit cell a=4.435 b=4.439 c=5.994 alpha=75.42 beta=81.33 gamma=89.06
Sites, in units of the cell vectors:
La 0.000 0.000 0.000
Cd 0.564 0.896 0.581
Te 0.463 0.442 0.199
P 0.052 0.596 0.633
H 0.527 0.092 0.840